# 1
DFT (PBE-GGA) results for a relaxed ZnGa2Bi crystal.

Crystal system ... cubic
E above lowest polymorph ... 0.55 kcal/mol of atoms
Formation enthalpy at 0 K ... 0.134 eV per atom
DOS at the Fermi energy ... 6.189 states/eV/cell

a = 7.1838 Å, b = 7.1838 Å, c = 7.1838 Å
α = 90.00°, β = 90.00°, γ = 90.00°
Closest atoms and distances in Å follow each position.
Space group Fm-3m (No. 225)
Symmetry-distinct sites (fractional):
Zn (0.0000, 0.0000, 0.0000) x4  8 Ga 3.11
Ga (0.2500, 0.2500, 0.2500) x8  4 Bi 3.11, 4 Zn 3.11
Bi (0.0000, 0.0000, 0.5000) x4  8 Ga 3.11


# 2
DFT (PBE-GGA) results for a relaxed ZnGaBi crystal.

Crystal system ... tetragonal
E above lowest polymorph ... 1.49 kcal/mol of atoms
Formation enthalpy at 0 K ... 0.136 eV per atom
DOS at the Fermi energy ... 2.690 states/eV/cell

a = 3.3441 Å, b = 3.3441 Å, c = 12.3104 Å
α = 90.00°, β = 90.00°, γ = 90.00°
Closest atoms and distances in Å follow each position.
Space group I4mm (No. 107)
Symmetry-distinct sites (fractional):
Zn (0.0000, 0.0000, 0.0000) x2  4 Ga 2.80
Ga (0.0000, 0.0000, 0.6220) x2  4 Zn 2.80
Bi (0.0000, 0.0000, 0.3226) x2  4 Zn 3.22, 4 Bi 3.34, 4 Ga 3.42


Question: Look up the DOS at the Fermi energy of the first one.
Answer: 6.189 states/eV/cell


Question: What is the DOS at the Fermi energy in the first record?
Answer: 6.189 states/eV/cell